1.
First-principles (PBE-GGA) data for a geometry-optimized Pu5Pd2Pt structure, as listed in Alexandria via LeMat-Bulk.

ΔH_f (0 K) = -382.8 meV/atom
space group = I4/mcm (140)
total magnetic moment = 59.1 μB per cell

Cell: 7.5798 7.5798 8.5081 Å, 116.45 116.45 90.00°
Site moments in Bohr magnetons follow the coordinates.
Positions (direct):
Pu 0.1788 0.0161 0.6949  5.52
Pu 0.5000 0.5000 0.0000  5.45
Pu 0.4839 0.3212 0.3051  5.52
Pu 0.9839 0.4839 0.3051  5.52
Pu 0.6788 0.1788 0.6949  5.52
Pu 0.3212 0.8212 0.3051  5.52
Pu 0.0000 0.0000 0.0000  5.45
Pu 0.0161 0.5161 0.6949  5.52
Pu 0.8212 0.9839 0.3051  5.52
Pu 0.5161 0.6788 0.6949  5.52
Pt 0.2500 0.2500 0.5000  -0.04
Pt 0.7500 0.7500 0.5000  -0.04
Pd 0.8719 0.6281 0.0000  -0.01
Pd 0.6281 0.1281 0.0000  -0.01
Pd 0.3719 0.8719 0.0000  -0.01
Pd 0.1281 0.3719 0.0000  -0.01

---

2.
First-principles (PBE-GGA) data for a geometry-optimized Pu5PdPt2 structure, as listed in Alexandria via LeMat-Bulk.

ΔE to the lowest computed polymorph = 0.00 eV per formula unit
ΔH_f (0 K) = -425.7 meV/atom
space group = Pbam (55)
total magnetic moment = 35.1 μB per cell

Cell: 5.1529 5.9146 11.7075 Å, 90.00 90.00 90.00°
Site moments in Bohr magnetons follow the coordinates.
Positions (direct):
Pt 0.5000 0.4086 0.3736  0.00
Pt 0.5000 0.9086 0.1264  0.00
Pt 0.5000 0.0914 0.8736  0.00
Pt 0.5000 0.5914 0.6264  0.00
Pu 0.5000 0.5951 0.8787  5.33
Pu 0.0000 0.1878 0.2542  5.51
Pu 0.0000 0.5000 0.5000  -4.99
Pu 0.5000 0.4049 0.1213  5.33
Pu 0.5000 0.0951 0.6213  5.33
Pu 0.0000 0.0000 0.0000  -4.99
Pu 0.0000 0.3122 0.7542  5.51
Pu 0.0000 0.6878 0.2458  5.51
Pu 0.5000 0.9049 0.3787  5.33
Pu 0.0000 0.8122 0.7458  5.51
Pd 0.0000 0.0000 0.5000  0.05
Pd 0.0000 0.5000 0.0000  0.05

---

3.
First-principles (PBE-GGA) data for a geometry-optimized Pu5PdPt2 structure, as listed in Alexandria via LeMat-Bulk.

ΔE to the lowest computed polymorph = 2.93 eV per formula unit
ΔH_f (0 K) = -59.7 meV/atom
space group = I4mm (107)
total magnetic moment = 0.0 μB per cell

Cell: 5.6340 5.6340 6.0011 Å, 117.99 117.99 90.00°
Positions (direct):
Pu 0.6747 0.6747 0.9241
Pu 0.6747 0.2494 0.9241
Pu 0.2494 0.6747 0.9240
Pu 0.8311 0.8311 0.6622
Pu 0.2493 0.2493 0.9240
Pt 0.7141 0.2141 0.4282
Pt 0.2141 0.7141 0.4282
Pd 0.1697 0.1697 0.3393

---

4.
First-principles (PBE-GGA) data for a geometry-optimized PuPd8Pt2 structure, as listed in Alexandria via LeMat-Bulk.

ΔE to the lowest computed polymorph = 1.63 eV per formula unit
ΔH_f (0 K) = -102.4 meV/atom
space group = C2/m (12)
total magnetic moment = 3.8 μB per cell

Cell: 5.4646 7.1097 7.1097 Å, 44.53 77.63 77.63°
Site moments in Bohr magnetons follow the coordinates.
Positions (direct):
Pd 0.6631 0.1613 0.6532  -0.12
Pd 0.6631 0.6532 0.1613  -0.12
Pd 0.9855 0.7534 0.7534  -0.08
Pd 0.3369 0.8387 0.3468  -0.12
Pd 0.8022 0.5803 0.5803  -0.12
Pd 0.0145 0.2466 0.2466  -0.08
Pd 0.1978 0.4197 0.4197  -0.12
Pd 0.3369 0.3468 0.8387  -0.12
Pt 0.4608 0.7673 0.7673  -0.10
Pt 0.5392 0.2327 0.2327  -0.10
Pu 0.0000 0.0000 0.0000  4.80

---

5.
First-principles (PBE-GGA) data for a geometry-optimized Pu2Pd3Pt structure, as listed in Alexandria via LeMat-Bulk.

ΔH_f (0 K) = -631.2 meV/atom
space group = R-3m (166)
total magnetic moment = 10.8 μB per cell

Cell: 5.4361 5.4361 5.4633 Å, 89.99 119.84 120.00°
Site moments in Bohr magnetons follow the coordinates.
Positions (direct):
Pd 0.0000 0.0000 0.5000  -0.08
Pd 0.5000 0.0000 0.5000  -0.08
Pd 0.5000 0.5000 0.5000  -0.08
Pu 0.2519 0.6260 0.8778  5.29
Pu 0.7481 0.3740 0.1222  5.29
Pt 0.0000 0.0000 0.0000  -0.12

---

6.
First-principles (PBE-GGA) data for a geometry-optimized Pu4PdPt3 structure, as listed in Alexandria via LeMat-Bulk.

ΔH_f (0 K) = -648.0 meV/atom
space group = Pmmm (47)
total magnetic moment = 11.2 μB per cell

Cell: 2.9486 5.3536 10.7179 Å, 90.00 90.00 90.00°
Site moments in Bohr magnetons follow the coordinates.
Positions (direct):
Pu 0.0000 0.5000 0.7483  5.41
Pu 0.0000 0.0000 0.5000  -5.34
Pu 0.0000 0.5000 0.2517  5.41
Pu 0.0000 0.0000 0.0000  5.34
Pd 0.5000 0.5000 0.0000  0.00
Pt 0.5000 0.0000 0.2488  -0.03
Pt 0.5000 0.0000 0.7512  -0.03
Pt 0.5000 0.5000 0.5000  0.01

---

Q: Look up the total magnetic moment of the first one.
A: 59.1 μB per cell

---

Q: What is the formula in the fourth record?
A: PuPd8Pt2